Compound: PrNiP2Ru
Source: Alexandria via LeMat-Bulk
Functional: PBE-GGA
Structure: relaxed

Cell lengths 3.8415, 3.8415, 11.3575 Å; angles 90.00, 90.00, 90.00 degrees
Last column: nearest neighbours and their distance in Å.
Space group I-4m2 (No. 119)
Symmetry-distinct sites (fractional):
Pr 0.0000 0.0000 0.0000 (multiplicity 2)  8 P 3.12, 4 Ni 3.43, 4 Ru 3.43
Ni 0.0000 0.5000 0.2500 (multiplicity 2)  4 P 2.32
P 0.0000 0.0000 0.3641 (multiplicity 4)  2 Ru 2.32, 2 Ni 2.32
Ru 0.0000 0.5000 0.7500 (multiplicity 2)  4 P 2.32

Computed properties:
energy relative to the elements = -0.913 eV per atom
size of the total moment = 0.00 μB per formula unit